(1)
An optimized crystal structure of Be2SnN, computed with PBE.

It has space group Fm-3m (No. 225), with a = 5.9094 Å, b = 5.9094 Å, c = 5.9094 Å, α = 90.00°, β = 90.00° and γ = 90.00°. The asymmetric unit holds Be at (0.2500, 0.2500, 0.2500), Sn at (0.0000, 0.0000, 0.0000) and N at (0.0000, 0.0000, 0.5000).

The uncorrected formation energy is 1431 meV per atom. For the excess energy over the best structure of this formula in the dataset, the calculation gives 1.6532 eV per atom.

---

(2)
An optimized crystal structure of TaHI2, computed with PBE.

It has space group P1 (No. 1), with a = 3.8919 Å, b = 7.4350 Å, c = 7.9487 Å, α = 99.14°, β = 94.53° and γ = 105.13°. The asymmetric unit holds Ta at (0.0000, 0.0000, 0.0000), Ta at (0.3452, 0.7004, 0.9672), H at (0.2108, 0.4742, 0.8336), H at (0.8804, 0.7430, 0.0523), I at (0.2533, 0.4455, 0.1989), I at (0.5440, 0.0013, 0.2665), I at (0.5519, 0.1680, 0.8049) and I at (0.8104, 0.7154, 0.7021).

The total DFT energy (no corrections) comes out at -4.727 eV per atom.

---

(3)
An optimized crystal structure of PmPrAg4, computed with PBE.

It has space group F-43m (No. 216), with a = 8.1969 Å, b = 8.1969 Å, c = 8.1969 Å, α = 90.00°, β = 90.00° and γ = 90.00°. The asymmetric unit holds Pm at (0.0000, 0.0000, 0.0000), Pr at (0.2500, 0.2500, 0.7500) and Ag at (0.1251, 0.1251, 0.3749).

For the formation energy, the calculation gives -0.92 eV per formula unit. For the excess energy over the best structure of this formula in the dataset, the calculation gives 0.1067 eV per atom.

---

(4)
An optimized crystal structure of ZrBePCl2, computed with PBE.

It has space group P4/mmm (No. 123), with a = 4.9561 Å, b = 4.9561 Å, c = 5.2331 Å, α = 90.00°, β = 90.00° and γ = 90.00°. The asymmetric unit holds Zr at (0.0000, 0.0000, 0.0000), Be at (0.5000, 0.5000, 0.5000), P at (0.0000, 0.0000, 0.5000) and Cl at (0.0000, 0.5000, 0.0000).

The uncorrected formation energy is -85 meV per atom. For the excess energy over the best structure of this formula in the dataset, the calculation gives 0.1880 eV per atom.

---

(5)
An optimized crystal structure of TcNiH2, computed with PBE.

It has space group Fm-3m (No. 225), with a = 5.0312 Å, b = 5.0312 Å, c = 5.0312 Å, α = 90.00°, β = 90.00° and γ = 90.00°. The asymmetric unit holds Tc at (0.0000, 0.0000, 0.0000), Ni at (0.0000, 0.0000, 0.5000) and H at (0.2500, 0.2500, 0.2500).

For the excess energy over the best structure of this formula in the dataset, the calculation gives 0.4148 eV per atom.

---

(6)
An optimized crystal structure of ZrAs2OsSe, computed with PBE.

It has space group P4/mmm (No. 123), with a = 5.1907 Å, b = 5.1907 Å, c = 5.0237 Å, α = 90.00°, β = 90.00° and γ = 90.00°. The asymmetric unit holds Zr at (0.0000, 0.0000, 0.0000), As at (0.0000, 0.5000, 0.0000), Os at (0.5000, 0.5000, 0.5000) and Se at (0.0000, 0.0000, 0.5000).

The uncorrected formation energy is 1207 meV per atom. For the excess energy over the best structure of this formula in the dataset, the calculation gives 0.6739 eV per atom.

---

(7)
An optimized crystal structure of CaTh3Tl4, computed with PBE.

It has space group P4/mmm (No. 123), with a = 3.5827 Å, b = 3.5827 Å, c = 18.1732 Å, α = 90.00°, β = 90.00° and γ = 90.00°. The asymmetric unit holds Ca at (0.0000, 0.0000, 0.0000), Th at (0.0000, 0.0000, 0.2473), Th at (0.0000, 0.0000, 0.5000), Tl at (0.5000, 0.5000, 0.1214) and Tl at (0.5000, 0.5000, 0.3737).

For the formation energy, the calculation gives -1.68 eV per formula unit.

---

(8)
An optimized crystal structure of HoTh2Pa, computed with PBE.

It has space group Fm-3m (No. 225), with a = 7.8204 Å, b = 7.8204 Å, c = 7.8204 Å, α = 90.00°, β = 90.00° and γ = 90.00°. The asymmetric unit holds Ho at (0.0000, 0.0000, 0.0000), Th at (0.2500, 0.2500, 0.2500) and Pa at (0.0000, 0.0000, 0.5000).

For the formation energy, the calculation gives 1.07 eV per formula unit. For the excess energy over the best structure of this formula in the dataset, the calculation gives 0.1871 eV per atom.

---

(9)
An optimized crystal structure of Sc2MnTe, computed with PBE.

It has space group Amm2 (No. 38), with a = 4.1299 Å, b = 3.7981 Å, c = 10.7295 Å, α = 90.00°, β = 90.00° and γ = 90.00°. The asymmetric unit holds Sc at (0.0000, 0.0000, 0.0000), Sc at (0.5000, 0.0000, 0.2999), Mn at (0.0000, 0.0000, 0.7434) and Te at (0.5000, 0.0000, 0.5793).

The uncorrected formation energy is -433 meV per atom.

---

(10)
An optimized crystal structure of LaPr3Pu2Te6, computed with PBE.

It has space group C2/m (No. 12), with a = 7.7934 Å, b = 13.4981 Å, c = 7.8375 Å, α = 90.00°, β = 109.37° and γ = 90.00°. The asymmetric unit holds La at (0.0000, 0.0000, 0.0000), Pr at (0.0000, 0.1631, 0.5000), Pr at (0.0000, 0.5000, 0.5000), Pu at (0.0000, 0.3326, 0.0000), Te at (0.2404, 0.5000, 0.2428) and Te at (0.2476, 0.3300, 0.7537).

The uncorrected formation energy is -1362 meV per atom.

---

(11)
An optimized crystal structure of Er6SiTe2, computed with PBE.

It has space group P2_1/c (No. 14), with a = 6.2251 Å, b = 7.9557 Å, c = 11.6602 Å, α = 90.00°, β = 120.98° and γ = 90.00°. The asymmetric unit holds Er at (0.0864, 0.1910, 0.4553), Er at (0.3234, 0.6734, 0.4561), Er at (0.3660, 0.0319, 0.2346), Si at (0.5000, 0.0000, 0.5000) and Te at (0.1513, 0.1139, 0.7456).

The uncorrected formation energy is -678 meV per atom.

---

(12)
An optimized crystal structure of Tl2TeBr, computed with PBE.

It has space group C2/m (No. 12), with a = 8.4177 Å, b = 8.4180 Å, c = 3.6653 Å, α = 90.00°, β = 90.09° and γ = 90.00°. The asymmetric unit holds Tl at (0.2500, 0.2500, 0.0000), Te at (0.0000, 0.0000, 0.5000) and Br at (0.0000, 0.5000, 0.5000).

The uncorrected formation energy is -417 meV per atom. For the excess energy over the best structure of this formula in the dataset, the calculation gives 0.0663 eV per atom.

---

(13)
An optimized crystal structure of Mg5Tl6Zn, computed with PBE.

It has space group Immm (No. 71), with a = 4.9171 Å, b = 7.8808 Å, c = 15.3870 Å, α = 90.00°, β = 90.00° and γ = 90.00°. The asymmetric unit holds Mg at (0.0000, 0.0000, 0.0000), Mg at (0.0000, 0.0000, 0.3337), Mg at (0.0000, 0.5000, 0.3338), Tl at (0.0000, 0.2423, 0.5000), Tl at (0.0000, 0.2512, 0.1657) and Zn at (0.0000, 0.5000, 0.0000).

For the formation energy, the calculation gives 0.14 eV per formula unit.

---

(14)
An optimized crystal structure of TaCdPtO6, computed with PBE.

It has space group P4_2nm (No. 102), with a = 4.8492 Å, b = 4.8492 Å, c = 9.6161 Å, α = 90.00°, β = 90.00° and γ = 90.00°. The asymmetric unit holds Ta at (0.0000, 0.0000, 0.0000), Cd at (0.0000, 0.0000, 0.3292), Pt at (0.0000, 0.0000, 0.6619), O at (0.1752, 0.1752, 0.8302), O at (0.2082, 0.2082, 0.5132) and O at (0.2126, 0.2126, 0.1423).

The uncorrected formation energy is -1416 meV per atom.

---

(15)
An optimized crystal structure of Dy2BeB2Ru5, computed with PBE.

It has space group P4/mbm (No. 127), with a = 9.4091 Å, b = 9.4091 Å, c = 3.0930 Å, α = 90.00°, β = 90.00° and γ = 90.00°. The asymmetric unit holds Dy at (0.1751, 0.3249, 0.0000), Be at (0.0000, 0.0000, 0.0000), B at (0.1263, 0.6263, 0.0000), Ru at (0.0000, 0.5000, 0.5000) and Ru at (0.0680, 0.7916, 0.5000).

For the formation energy, the calculation gives -3.42 eV per formula unit.

---

(16)
An optimized crystal structure of TlRuPt2, computed with PBE.

It has space group Immm (No. 71), with a = 2.9827 Å, b = 4.7474 Å, c = 9.6560 Å, α = 90.00°, β = 90.00° and γ = 90.00°. The asymmetric unit holds Tl at (0.0000, 0.0000, 0.0000), Ru at (0.0000, 0.0000, 0.5000) and Pt at (0.0000, 0.5000, 0.2385).

For the formation energy, the calculation gives 1.31 eV per formula unit. For the excess energy over the best structure of this formula in the dataset, the calculation gives 0.1061 eV per atom.

---

(17)
An optimized crystal structure of YCr2Si, computed with PBE.

It has space group R3m (No. 160, hexagonal axes), with a = 3.0562 Å, b = 3.0562 Å, c = 24.6475 Å, α = 90.00°, β = 90.00° and γ = 120.00°. The asymmetric unit holds Y at (0.0000, 0.0000, 0.0000), Cr at (0.0000, 0.0000, 0.4923), Cr at (0.0000, 0.0000, 0.7638) and Si at (0.0000, 0.0000, 0.2322).

The uncorrected formation energy is 419 meV per atom.

---

| no. | volume (A^3/atom) |
| --- | --- |
| 1 | 12.90 |
| 2 | 27.18 |
| 3 | 22.95 |
| 4 | 25.71 |
| 5 | 7.96 |
| 6 | 27.07 |
| 7 | 29.16 |
| 8 | 29.89 |
| 9 | 21.04 |
| 10 | 32.41 |
| 11 | 27.50 |
| 12 | 32.47 |
| 13 | 24.84 |
| 14 | 12.56 |
| 15 | 13.69 |
| 16 | 17.09 |
| 17 | 16.61 |